Record 1
Density functional theory data (PBE-GGA) for crystalline Ca2Pm3Ge3 at its relaxed geometry.

Properties
- Energy of formation from the pure elements: -0.452 eV per atom
- Total magnetic moment: 1.14 μB per cell
- Calculated volume: 26.8 A^3/atom

```
Ca2Pm3Ge3
1.0
-2.000 2.474 10.830
2.000 -2.474 10.830
2.000 2.474 -10.830
Ca Pm Ge
2 3 3
direct
0.233 0.233 0.000 Ca
0.767 0.767 0.000 Ca
0.000 0.000 0.000 Pm
0.387 0.887 0.500 Pm
0.613 0.113 0.500 Pm
0.130 0.630 0.500 Ge
0.500 0.500 0.000 Ge
0.870 0.370 0.500 Ge
```


Record 2
Density functional theory data (PBE-GGA) for crystalline ZrAg2Hg at its relaxed geometry.

Properties
- Energy of formation from the pure elements: -0.008 eV per atom
- Total magnetic moment: 0.00 μB per cell
- Calculated volume: 20.0 A^3/atom

```
ZrAg2Hg
1.0
3.097 0.000 0.000
0.000 3.817 0.000
0.000 0.000 6.760
Zr Ag Hg
1 2 1
direct
0.000 0.000 0.000 Zr
0.000 0.000 0.480 Ag
0.500 0.500 0.252 Ag
0.500 0.500 0.733 Hg
```


Record 3
Density functional theory data (PBE-GGA) for crystalline LaRhCl6 at its relaxed geometry.

Properties
- Raw formation energy: -1393 meV per atom
- Total magnetic moment: 0.00 μB per cell
- Calculated volume: 26.5 A^3/atom

```
LaRhCl6
1.0
3.215 1.856 5.918
-3.215 1.856 5.918
0.000 -3.712 5.918
La Rh Cl
1 1 6
direct
0.000 0.000 0.000 La
0.500 0.500 0.500 Rh
0.114 0.716 0.440 Cl
0.284 0.560 0.886 Cl
0.440 0.114 0.716 Cl
0.560 0.886 0.284 Cl
0.716 0.440 0.114 Cl
0.886 0.284 0.560 Cl
```


Record 4
Density functional theory data (PBE-GGA) for crystalline Hf3TeP at its relaxed geometry.

Properties
- Raw formation energy: -103 meV per atom
- Total magnetic moment: 0.00 μB per cell
- Calculated volume: 22.9 A^3/atom

```
Hf3TeP
1.0
4.856 0.000 0.000
0.000 4.856 0.000
0.000 0.000 4.856
Hf Te P
3 1 1
direct
0.000 0.000 0.500 Hf
0.000 0.500 0.000 Hf
0.500 0.000 0.000 Hf
0.500 0.500 0.500 Te
0.000 0.000 0.000 P
```


Record 5
Density functional theory data (PBE-GGA) for crystalline TlV2CrMo at its relaxed geometry.

Properties
- Energy of formation from the pure elements: 2.393 eV per atom
- Total magnetic moment: 0.26 μB per cell
- Calculated volume: 22.8 A^3/atom

```
TlV2CrMo
1.0
4.857 0.000 0.000
0.000 4.857 0.000
0.000 0.000 4.842
Tl V Cr Mo
1 2 1 1
direct
0.000 0.000 0.000 Tl
0.000 0.500 0.000 V
0.500 0.000 0.000 V
0.000 0.000 0.500 Cr
0.500 0.500 0.500 Mo
```


Record 6
Density functional theory data (PBE-GGA) for crystalline K2RbAgHg at its relaxed geometry.

Properties
- Energy of formation from the pure elements: 0.070 eV per atom
- Total magnetic moment: 0.00 μB per cell
- Calculated volume: 57.0 A^3/atom

```
K2RbAgHg
1.0
6.485 0.000 0.000
0.000 6.485 0.000
0.000 0.000 6.775
K Rb Ag Hg
2 1 1 1
direct
0.000 0.500 0.000 K
0.500 0.000 0.000 K
0.000 0.000 0.500 Rb
0.000 0.000 0.000 Ag
0.500 0.500 0.500 Hg
```